1.
# Ac6SmIn2

A relaxed Ac6SmIn2 crystal (PBE, Alexandria).

The space group is C2/m (No. 12) and the conventional cell measures 14.134, 4.048 and 12.881 Å, with angles of 90.00, 107.29 and 90.00 degrees. The distinct sites, in fractional coordinates, are Ac at (0.030, 0.000, 0.333), Ac at (0.174, 0.500, 0.880), Ac at (0.191, 0.500, 0.598), Sm at (0.000, 0.000, 0.000) and In at (0.144, 0.500, 0.180).

Its formation energy is -0.172 eV/atom.

2.
# Ac3SmIn3

A relaxed Ac3SmIn3 crystal (PBE, Alexandria).

The space group is Cmmm (No. 65) and the conventional cell measures 11.087, 11.694 and 7.802 Å, with angles of 90.00, 90.00 and 90.00 degrees. The distinct sites, in fractional coordinates, are Ac at (0.000, 0.246, 0.000), Ac at (0.212, 0.000, 0.500), Ac at (0.245, 0.500, 0.000), Sm at (0.000, 0.268, 0.500), In at (0.000, 0.500, 0.274) and In at (0.250, 0.250, 0.270).

Its formation energy is -0.296 eV/atom.

| no. | E_tot (eV per cell) |
| --- | --- |
| 1 | -72.8 |
| 2 | -109.3 |